[1]
Here is an optimized crystal structure of Mg2TcH6 from the Alexandria database. Energies are from PBE.

a = 4.345 Å, b = 4.345 Å, c = 8.677 Å
α = 90.00°, β = 90.00°, γ = 90.00°
Site moments in Bohr magnetons follow the coordinates.
Element x y z (fractional)
Mg 0.500 0.500 0.832  -0.01
H 0.812 0.188 0.153  0.00
H 0.812 0.188 0.847  0.00
H 0.212 0.788 0.500  0.00
Tc 0.000 0.000 0.000  0.90
Tc 0.500 0.500 0.500  0.90
H 0.188 0.812 0.847  0.00
Mg 0.500 0.500 0.168  -0.01
H 0.788 0.212 0.500  0.00
H 0.688 0.688 0.653  0.00
H 0.688 0.688 0.347  0.00
H 0.712 0.712 0.000  0.00
H 0.312 0.312 0.653  0.00
Mg 0.000 0.000 0.332  -0.01
H 0.312 0.312 0.347  0.00
H 0.288 0.288 0.000  0.00
Mg 0.000 0.000 0.668  -0.01
H 0.188 0.812 0.153  0.00

---

[2]
Here is an optimized crystal structure of MgTcH from the Alexandria database. Energies are from PBE.

a = 2.791 Å, b = 2.791 Å, c = 4.468 Å
α = 90.00°, β = 90.00°, γ = 90.00°
Element x y z (fractional)
Tc 0.500 0.500 0.500
Mg 0.000 0.000 0.000
H 0.000 0.000 0.500

---

Record-wise polymorph energy (0 for the lowest one) values, in meV/atom: 86; 92